Below is a relaxed structure of TiMoNO2, with properties calculated at the PBE+U level.

Spin magnetization (μB per cell): 2.91
Calculated total energy (eV per formula unit): -36.5

abc: 3.9521 3.9521 3.9777
angles: 90.00 90.00 90.00
Space group P4/mmm (No. 123)
One atom of each set of equivalent atoms:
Ti1 0.0000 0.0000 0.0000 x1
Mo1 0.5000 0.5000 0.5000 x1
N1 0.5000 0.5000 0.0000 x1
O1 0.0000 0.5000 0.5000 x2